[1]
Below is LaPtIN2 after structural relaxation, with properties calculated at the GGA-PBE level.

Unit cell a=4.131 b=4.131 c=7.280 alpha=90.00 beta=90.00 gamma=90.00
Element x y z (fractional)
I 0.000 0.000 0.500
N 0.000 0.500 0.000
N 0.500 0.000 0.000
Pt 0.500 0.500 0.500
La 0.000 0.000 0.000

Calculated values
As for the crystal system: tetragonal. Its formation energy from raw total energies is 0.98 eV/atom.

[2]
Below is Cs4Np3AgTe8 after structural relaxation, with properties calculated at the GGA-PBE level.

Unit cell a=9.175 b=10.298 c=9.180 alpha=116.47 beta=119.98 gamma=90.00
Each line ends with the local moment (μB).
Element x y z (fractional)
Cs 0.500 0.000 0.000  -0.01
Cs 0.500 0.000 0.500  -0.01
Cs 0.000 0.000 0.000  -0.01
Cs 0.000 0.000 0.500  -0.01
Np 0.500 0.500 0.000  3.75
Np 0.500 0.500 0.500  3.75
Np 0.000 0.500 0.500  3.75
Ag 0.000 0.500 0.000  -0.05
Te 0.231 0.684 0.953  -0.12
Te 0.231 0.685 0.463  -0.12
Te 0.270 0.310 0.540  -0.10
Te 0.723 0.684 0.953  -0.12
Te 0.277 0.316 0.047  -0.12
Te 0.730 0.690 0.460  -0.10
Te 0.769 0.315 0.537  -0.12
Te 0.769 0.316 0.047  -0.12

Calculated values
As for the crystal system: trigonal. Its formation energy from raw total energies is -0.77 eV/atom.

[3]
Below is KRhBr2 after structural relaxation, with properties calculated at the GGA-PBE level.

Unit cell a=8.722 b=8.722 c=8.722 alpha=32.47 beta=32.47 gamma=32.47
Each line ends with the local moment (μB).
Element x y z (fractional)
K 0.500 0.500 0.500  0.00
Rh 0.000 0.000 0.000  1.56
Br 0.901 0.901 0.901  0.07
Br 0.099 0.099 0.099  0.07

Calculated values
As for the crystal system: trigonal. Its formation energy from raw total energies is -0.30 eV/atom.

[4]
Below is AcPu4In15 after structural relaxation, with properties calculated at the GGA-PBE level.

Unit cell a=4.718 b=4.718 c=23.540 alpha=90.00 beta=90.00 gamma=90.00
Each line ends with the local moment (μB).
Element x y z (fractional)
Ac 0.000 0.000 0.000  0.00
Pu 0.000 0.000 0.206  5.34
Pu 0.000 0.000 0.402  5.36
Pu 0.000 0.000 0.598  5.36
Pu 0.000 0.000 0.794  5.34
In 0.500 0.500 0.000  0.00
In 0.500 0.500 0.206  0.00
In 0.500 0.500 0.402  0.01
In 0.500 0.500 0.598  0.01
In 0.500 0.500 0.794  0.00
In 0.500 0.000 0.109  -0.01
In 0.500 0.000 0.304  0.01
In 0.500 0.000 0.500  0.01
In 0.500 0.000 0.696  0.01
In 0.500 0.000 0.891  -0.01
In 0.000 0.500 0.109  -0.01
In 0.000 0.500 0.304  0.01
In 0.000 0.500 0.500  0.01
In 0.000 0.500 0.696  0.01
In 0.000 0.500 0.891  -0.01

Calculated values
Its energy of formation is -0.251 eV per atom. As for the crystal system: tetragonal.

[5]
Below is Rb2NdPaSe4 after structural relaxation, with properties calculated at the GGA-PBE level.

Unit cell a=4.280 b=7.452 c=8.452 alpha=106.89 beta=90.00 gamma=90.00
Each line ends with the local moment (μB).
Element x y z (fractional)
Rb 0.500 0.000 0.500  0.00
Rb 0.000 0.500 0.500  0.00
Nd 0.000 0.000 0.000  0.14
Pa 0.500 0.500 0.000  1.36
Se 0.500 0.243 0.203  -0.01
Se 0.500 0.757 0.797  -0.01
Se 0.000 0.274 0.799  -0.02
Se 0.000 0.726 0.201  -0.02

Calculated values
As for the crystal system: monoclinic. Its formation energy from raw total energies is -1.50 eV/atom.

[6]
Below is Na3Li2NiH6 after structural relaxation, with properties calculated at the GGA-PBE level.

Unit cell a=5.217 b=5.217 c=5.713 alpha=104.29 beta=104.29 gamma=111.50
Element x y z (fractional)
Na 0.160 0.840 0.500
Na 0.840 0.160 0.500
Na 0.500 0.500 0.500
Li 0.338 0.662 0.000
Li 0.662 0.338 0.000
Ni 0.000 0.000 0.000
H 0.958 0.681 0.811
H 0.693 0.693 0.243
H 0.042 0.319 0.189
H 0.681 0.958 0.811
H 0.307 0.307 0.757
H 0.319 0.042 0.189

Calculated values
The value obtained for the total energy is -35.34 eV per formula unit. As for the crystal system: monoclinic.

[7]
Below is K4Pa3AgSe8 after structural relaxation, with properties calculated at the GGA-PBE level.

Unit cell a=8.427 b=9.147 c=8.428 alpha=117.45 beta=119.99 gamma=90.00
Each line ends with the local moment (μB).
Element x y z (fractional)
K 0.500 0.000 0.000  0.00
K 0.500 0.000 0.500  0.00
K 0.000 0.000 0.000  0.00
K 0.000 0.000 0.500  0.00
Pa 0.500 0.500 0.000  1.19
Pa 0.500 0.500 0.500  1.19
Pa 0.000 0.500 0.500  1.19
Ag 0.000 0.500 0.000  0.00
Se 0.241 0.707 0.967  -0.03
Se 0.241 0.707 0.482  -0.03
Se 0.264 0.291 0.527  -0.03
Se 0.726 0.707 0.967  -0.03
Se 0.274 0.293 0.033  -0.03
Se 0.736 0.709 0.473  -0.03
Se 0.759 0.293 0.518  -0.03
Se 0.759 0.293 0.033  -0.03

Calculated values
As for the crystal system: trigonal. Its formation energy from raw total energies is -1.23 eV/atom.

[8]
Below is HfAl2Zn after structural relaxation, with properties calculated at the GGA-PBE level.

Unit cell a=4.081 b=4.081 c=4.008 alpha=90.00 beta=90.00 gamma=90.00
Element x y z (fractional)
Zn 0.500 0.500 0.000
Hf 0.000 0.000 0.000
Al 0.000 0.500 0.500
Al 0.500 0.000 0.500

Calculated values
Its energy of formation is -0.381 eV per atom. As for the crystal system: tetragonal.